No. 1
{"formula": "HgAs2Cl6", "functional": "PBE-GGA", "state": "optimized geometry", "total_energy_ev_per_atom": -2.917, "dos_at_fermi_per_ev_cell": 0.00, "crystal_system": "monoclinic", "raw_formation_energy_ev_per_atom": -0.619, "lattice": [[10.548, 0.601, 0.582], [3.660, 8.676, 0.619], [3.660, 0.900, 8.651]], "species": ["Cl", "Cl", "Cl", "Cl", "Cl", "Cl", "Cl", "Cl", "Cl", "Cl", "Cl", "Cl", "As", "As", "As", "As", "Hg", "Hg"], "frac_coords": [[0.992, 0.143, 0.622], [0.508, 0.378, 0.857], [0.492, 0.622, 0.143], [0.481, 0.687, 0.564], [0.799, 0.284, 0.076], [0.008, 0.857, 0.378], [0.519, 0.313, 0.436], [0.299, 0.076, 0.284], [0.701, 0.924, 0.716], [0.201, 0.716, 0.924], [0.019, 0.436, 0.313], [0.981, 0.564, 0.687], [0.843, 0.746, 0.546], [0.343, 0.546, 0.746], [0.157, 0.254, 0.454], [0.657, 0.454, 0.254], [0.750, 0.833, 0.167], [0.250, 0.167, 0.833]]}


No. 2
{"formula": "LaHoPd2", "functional": "PBE-GGA", "state": "optimized geometry", "total_energy_ev_per_atom": -5.771, "formation_enthalpy_0k_ev_per_atom": -0.80, "dos_at_fermi_per_ev_cell": 3.68, "crystal_system": "cubic", "lattice": [[5.085, 0.000, 0.000], [2.542, 4.403, 0.000], [2.542, 1.468, 4.152]], "species": ["Ho", "La", "Pd", "Pd"], "frac_coords": [[0.000, 0.000, 0.000], [0.500, 0.500, 0.500], [0.750, 0.750, 0.750], [0.250, 0.250, 0.250]]}


No. 3
{"formula": "KBaIr", "functional": "PBE-GGA", "state": "optimized geometry", "total_energy_ev_per_atom": -3.527, "formation_enthalpy_0k_ev_per_atom": 0.43, "dos_at_fermi_per_ev_cell": 4.25, "crystal_system": "trigonal", "lattice": [[-2.051, -0.283, 4.383], [2.713, -3.663, -1.648], [4.732, 2.437, 2.372]], "species": ["K", "Ir", "Ba"], "frac_coords": [[0.333, 0.667, 0.598], [0.667, 0.333, 0.281], [0.000, 0.000, 0.121]]}


No. 4
{"formula": "Nd6AgRu2I3", "functional": "PBE-GGA", "state": "optimized geometry", "total_energy_ev_per_atom": -5.220, "dos_at_fermi_per_ev_cell": 3.61, "crystal_system": "monoclinic", "raw_formation_energy_ev_per_atom": -0.665, "lattice": [[-0.051, 7.164, 1.534], [-3.659, -2.524, -5.824], [-5.444, -2.587, 6.075]], "species": ["Nd", "Nd", "Nd", "Nd", "Nd", "Nd", "I", "I", "I", "Ru", "Ru", "Ag"], "frac_coords": [[0.063, 0.424, 0.190], [0.298, 0.298, 0.812], [0.576, 0.937, 0.810], [0.424, 0.063, 0.190], [0.702, 0.702, 0.188], [0.937, 0.576, 0.810], [0.500, 0.500, 0.500], [0.165, 0.835, 0.500], [0.835, 0.165, 0.500], [0.333, 0.667, 0.000], [0.667, 0.333, 0.000], [0.000, 0.000, 0.000]]}


No. 5
{"formula": "Li5Ac3Cd6", "functional": "PBE-GGA", "state": "optimized geometry", "total_energy_ev_per_atom": -2.181, "formation_enthalpy_0k_ev_per_atom": -0.23, "dos_at_fermi_per_ev_cell": 23.64, "crystal_system": "orthorhombic", "lattice": [[5.022, 0.000, 0.000], [0.000, 9.943, 0.000], [0.000, 0.000, 14.291]], "species": ["Cd", "Cd", "Cd", "Cd", "Cd", "Cd", "Cd", "Cd", "Cd", "Cd", "Cd", "Cd", "Li", "Li", "Li", "Li", "Li", "Li", "Li", "Li", "Li", "Li", "Ac", "Ac", "Ac", "Ac", "Ac", "Ac"], "frac_coords": [[0.000, 0.966, 0.136], [0.000, 0.966, 0.864], [0.500, 0.398, 0.163], [0.000, 0.421, 0.500], [0.000, 0.059, 0.500], [0.500, 0.398, 0.837], [0.500, 0.579, 0.000], [0.500, 0.034, 0.636], [0.000, 0.602, 0.663], [0.000, 0.602, 0.337], [0.500, 0.034, 0.364], [0.500, 0.941, 0.000], [0.000, 0.759, 0.000], [0.500, 0.456, 0.370], [0.000, 0.544, 0.130], [0.500, 0.106, 0.836], [0.500, 0.456, 0.630], [0.500, 0.106, 0.164], [0.000, 0.894, 0.336], [0.000, 0.544, 0.870], [0.000, 0.894, 0.664], [0.500, 0.241, 0.500], [0.000, 0.248, 0.708], [0.500, 0.746, 0.500], [0.500, 0.752, 0.208], [0.500, 0.752, 0.792], [0.000, 0.248, 0.292], [0.000, 0.254, 0.000]]}


No. 6
{"formula": "Cd2HgMo", "functional": "PBE-GGA", "state": "optimized geometry", "total_energy_ev_per_atom": -2.745, "formation_enthalpy_0k_ev_per_atom": 0.50, "dos_at_fermi_per_ev_cell": 2.63, "crystal_system": "orthorhombic", "lattice": [[6.012, 0.008, 0.003], [3.006, 5.207, -0.003], [-3.748, -3.924, 2.589]], "species": ["Cd", "Cd", "Mo", "Hg"], "frac_coords": [[0.748, 0.248, 0.500], [0.012, 0.012, 0.000], [0.251, 0.751, 0.500], [0.489, 0.489, 0.000]]}


no.,mass density (g cm⁻³)
1,2.49
2,9.23
3,5.16
4,6.78
5,6.47
6,10.69